# 1
Computed, not measured: a relaxed Bi2OF2 crystal at the PBE level of DFT.

Results
Its space group is C2/m (12). For the total energy, the calculation gives -23.866 eV/f.u. Its relative energy among the computed polymorphs is 0.00 kJ per mole of atoms.

Cell lengths 4.136, 5.631, 8.374 Å; angles 84.56, 75.70, 68.45 degrees
Element x y z (fractional)
Bi  0.955  0.229  0.861
Bi  0.182  0.249  0.388
Bi  0.045  0.771  0.139
Bi  0.818  0.751  0.612
F  0.438  0.435  0.688
F  0.353  0.289  0.006
F  0.647  0.711  0.994
F  0.562  0.565  0.312
O  0.192  0.992  0.623
O  0.808  0.008  0.377


# 2
Computed, not measured: a relaxed BiO2F crystal at the PBE level of DFT.

Results
Its space group is Fm-3m (225). For the total energy, the calculation gives -18.335 eV/f.u.

Cell lengths 3.931, 3.931, 3.931 Å; angles 60.00, 60.00, 60.00 degrees
Element x y z (fractional)
O  0.250  0.250  0.250
O  0.750  0.750  0.750
Bi  0.500  0.500  0.500
F  0.000  0.000  0.000


# 3
Computed, not measured: a relaxed Bi7O6F9 crystal at the PBE level of DFT.

Results
Its space group is Aea2 (41). For the total energy, the calculation gives -116.614 eV/f.u. Its relative energy among the computed polymorphs is 0.00 kJ per mole of atoms.

Cell lengths 5.745, 11.805, 20.202 Å; angles 90.00, 98.17, 90.00 degrees
Element x y z (fractional)
F  0.004  0.202  0.745
F  0.504  0.298  0.745
F  0.798  0.484  0.570
F  0.847  0.221  0.874
F  0.168  0.809  0.616
F  0.553  0.191  0.384
F  0.421  0.811  0.500
F  0.922  0.189  0.500
F  0.973  0.779  0.126
F  0.366  0.776  0.872
F  0.053  0.309  0.384
F  0.534  0.796  0.744
F  0.422  0.311  0.500
F  0.993  0.276  0.128
F  0.493  0.224  0.128
F  0.728  0.984  0.430
F  0.759  0.702  0.255
F  0.290  0.296  0.256
F  0.790  0.204  0.256
F  0.563  0.250  0.000
F  0.145  0.313  0.618
F  0.298  0.016  0.570
F  0.563  0.750  0.000
F  0.259  0.798  0.255
F  0.921  0.689  0.500
F  0.645  0.187  0.618
F  0.473  0.721  0.126
F  0.347  0.279  0.874
F  0.034  0.704  0.744
F  0.668  0.691  0.616
F  0.063  0.750  0.000
F  0.228  0.516  0.430
F  0.527  0.687  0.382
F  0.027  0.813  0.382
F  0.866  0.724  0.872
F  0.063  0.250  0.000
Bi  0.205  0.608  0.929
Bi  0.681  0.602  0.786
Bi  0.549  0.613  0.499
Bi  0.030  0.103  0.645
Bi  0.385  0.897  0.355
Bi  0.774  0.607  0.071
Bi  0.274  0.893  0.071
Bi  0.562  0.892  0.646
Bi  0.674  0.102  0.787
Bi  0.062  0.608  0.646
Bi  0.551  0.113  0.501
Bi  0.387  0.602  0.213
Bi  0.174  0.398  0.787
Bi  0.276  0.392  0.071
Bi  0.887  0.898  0.213
Bi  0.916  0.108  0.354
Bi  0.705  0.892  0.929
Bi  0.395  0.102  0.214
Bi  0.051  0.387  0.501
Bi  0.203  0.107  0.929
Bi  0.885  0.603  0.355
Bi  0.049  0.887  0.499
Bi  0.181  0.898  0.786
Bi  0.776  0.108  0.071
Bi  0.416  0.392  0.354
Bi  0.895  0.398  0.214
Bi  0.703  0.393  0.929
Bi  0.530  0.397  0.645
O  0.994  0.000  0.000
O  0.349  0.007  0.708
O  0.231  0.011  0.432
O  0.141  0.507  0.292
O  0.640  0.488  0.288
O  0.731  0.489  0.432
O  0.298  0.511  0.568
O  0.494  0.000  0.000
O  0.849  0.493  0.708
O  0.094  0.506  0.145
O  0.449  0.006  0.855
O  0.949  0.494  0.855
O  0.352  0.512  0.712
O  0.494  0.500  0.000
O  0.140  0.012  0.288
O  0.595  0.495  0.146
O  0.594  0.994  0.145
O  0.641  0.993  0.292
O  0.949  0.995  0.854
O  0.095  0.005  0.146
O  0.994  0.500  0.000
O  0.852  0.988  0.712
O  0.449  0.505  0.854
O  0.798  0.989  0.568


# 4
Computed, not measured: a relaxed Bi4O5F2 crystal at the PBE level of DFT.

Results
Its space group is Pnma (62). For the total energy, the calculation gives -60.538 eV/f.u. Its relative energy among the computed polymorphs is 3.38 kJ per mole of atoms.

Cell lengths 8.514, 9.194, 9.088 Å; angles 90.00, 90.00, 90.00 degrees
Element x y z (fractional)
Bi  0.750  0.517  0.069
Bi  0.535  0.740  0.711
Bi  0.250  0.546  0.503
Bi  0.965  0.740  0.711
Bi  0.465  0.260  0.289
Bi  0.250  0.483  0.931
Bi  0.250  0.046  0.997
Bi  0.965  0.240  0.789
Bi  0.465  0.760  0.211
Bi  0.035  0.760  0.211
Bi  0.750  0.454  0.497
Bi  0.750  0.017  0.431
Bi  0.535  0.240  0.789
Bi  0.035  0.260  0.289
Bi  0.250  0.983  0.569
Bi  0.750  0.954  0.003
O  0.250  0.321  0.424
O  0.938  0.168  0.490
O  0.750  0.179  0.924
O  0.064  0.525  0.666
O  0.064  0.025  0.834
O  0.438  0.332  0.990
O  0.564  0.475  0.334
O  0.936  0.975  0.166
O  0.250  0.821  0.076
O  0.936  0.475  0.334
O  0.438  0.832  0.510
O  0.562  0.668  0.010
O  0.938  0.668  0.010
O  0.062  0.332  0.990
O  0.062  0.832  0.510
O  0.750  0.679  0.576
O  0.564  0.975  0.166
O  0.436  0.525  0.666
O  0.562  0.168  0.490
O  0.436  0.025  0.834
F  0.250  0.280  0.750
F  0.750  0.720  0.250
F  0.250  0.033  0.324
F  0.750  0.467  0.824
F  0.250  0.533  0.176
F  0.250  0.780  0.750
F  0.750  0.967  0.676
F  0.750  0.220  0.250


# 5
Computed, not measured: a relaxed BiOF crystal at the PBE level of DFT.

Results
Its space group is P2_1/c (14). For the total energy, the calculation gives -16.023 eV/f.u.

Cell lengths 10.796, 7.721, 7.641 Å; angles 74.14, 90.00, 90.00 degrees
Element x y z (fractional)
Bi  0.694  0.488  0.982
Bi  0.517  0.085  0.253
Bi  0.194  0.012  0.018
Bi  0.017  0.415  0.747
Bi  0.483  0.915  0.747
Bi  0.806  0.988  0.982
Bi  0.339  0.607  0.538
Bi  0.161  0.107  0.538
Bi  0.983  0.585  0.253
Bi  0.839  0.893  0.462
Bi  0.661  0.393  0.462
Bi  0.306  0.512  0.018
O  0.707  0.957  0.243
O  0.901  0.619  0.506
O  0.793  0.457  0.243
O  0.099  0.381  0.494
O  0.599  0.119  0.506
O  0.401  0.881  0.494
O  0.293  0.043  0.757
O  0.207  0.543  0.757
O  0.056  0.114  0.802
O  0.944  0.886  0.198
O  0.444  0.614  0.802
O  0.556  0.386  0.198
F  0.379  0.819  0.074
F  0.621  0.181  0.926
F  0.321  0.252  0.376
F  0.642  0.764  0.004
F  0.821  0.248  0.624
F  0.858  0.264  0.004
F  0.142  0.736  0.996
F  0.358  0.236  0.996
F  0.879  0.681  0.926
F  0.179  0.752  0.376
F  0.679  0.748  0.624
F  0.121  0.319  0.074


# 6
Computed, not measured: a relaxed Bi5O4F7 crystal at the PBE level of DFT.

Results
Its space group is Aea2 (41). For the total energy, the calculation gives -84.105 eV/f.u.

Cell lengths 5.755, 11.729, 14.669 Å; angles 90.00, 101.31, 90.00 degrees
Element x y z (fractional)
Bi  0.029  0.613  0.500
Bi  0.806  0.104  0.099
Bi  0.695  0.391  0.902
Bi  0.195  0.109  0.902
Bi  0.064  0.893  0.706
Bi  0.564  0.607  0.706
Bi  0.707  0.896  0.901
Bi  0.529  0.887  0.500
Bi  0.029  0.113  0.500
Bi  0.829  0.896  0.298
Bi  0.293  0.891  0.098
Bi  0.858  0.393  0.294
Bi  0.207  0.604  0.901
Bi  0.532  0.104  0.702
Bi  0.793  0.609  0.098
Bi  0.529  0.387  0.500
Bi  0.358  0.107  0.294
Bi  0.329  0.604  0.298
Bi  0.306  0.396  0.099
Bi  0.032  0.396  0.702
F  0.921  0.241  0.995
F  0.476  0.221  0.823
F  0.207  0.208  0.163
F  0.926  0.759  0.005
F  0.044  0.792  0.837
F  0.902  0.811  0.509
F  0.792  0.019  0.599
F  0.001  0.188  0.333
F  0.976  0.279  0.823
F  0.152  0.721  0.177
F  0.147  0.194  0.653
F  0.193  0.981  0.401
F  0.493  0.806  0.347
F  0.693  0.519  0.401
F  0.421  0.259  0.995
F  0.393  0.189  0.491
F  0.893  0.311  0.491
F  0.402  0.689  0.509
F  0.168  0.688  0.667
F  0.707  0.292  0.163
F  0.993  0.694  0.347
F  0.292  0.481  0.599
F  0.668  0.812  0.667
F  0.544  0.708  0.837
F  0.426  0.741  0.005
F  0.652  0.779  0.177
F  0.501  0.312  0.333
F  0.647  0.306  0.653
O  0.366  0.992  0.798
O  0.499  0.500  0.000
O  0.693  0.010  0.406
O  0.500  0.000  0.000
O  0.193  0.490  0.406
O  0.568  0.008  0.202
O  0.572  0.509  0.204
O  0.068  0.492  0.202
O  0.072  0.991  0.204
O  0.866  0.508  0.798
O  0.869  0.009  0.796
O  0.999  0.000  0.000
O  0.369  0.491  0.796
O  0.788  0.510  0.594
O  0.000  0.500  0.000
O  0.288  0.990  0.594


# 7
Computed, not measured: a relaxed BiO2F6 crystal at the PBE level of DFT.

Results
Its space group is P-1 (2). For the total energy, the calculation gives -35.700 eV/f.u.

Cell lengths 4.369, 8.888, 7.685 Å; angles 88.43, 90.72, 88.77 degrees
Each line ends with the local moment (μB).
Element x y z (fractional)
F  0.743  0.736  0.007  0.00
F  0.502  0.617  0.333  0.24
F  0.756  0.129  0.772  0.00
F  0.246  0.129  0.494  0.00
F  0.010  0.616  0.329  0.24
F  0.257  0.264  0.993  0.00
F  0.262  0.970  0.829  0.00
F  0.990  0.384  0.671  0.24
F  0.244  0.871  0.228  0.00
F  0.498  0.383  0.667  0.24
F  0.754  0.871  0.506  0.00
F  0.738  0.030  0.171  0.00
O  0.377  0.670  0.721  0.62
O  0.894  0.336  0.271  0.62
O  0.623  0.330  0.279  0.62
O  0.106  0.664  0.729  0.62
Bi  0.746  0.811  0.253  -0.01
Bi  0.254  0.189  0.747  -0.01


# 8
Computed, not measured: a relaxed Bi4O4F crystal at the PBE level of DFT.

Results
Its space group is P4_2/n (86). For the total energy, the calculation gives -47.171 eV/f.u.

Cell lengths 4.660, 8.644, 8.644 Å; angles 90.00, 90.00, 90.00 degrees
Element x y z (fractional)
Bi  0.790  0.042  0.718
Bi  0.790  0.958  0.282
Bi  0.210  0.282  0.042
Bi  0.710  0.458  0.782
Bi  0.210  0.718  0.958
Bi  0.710  0.542  0.218
Bi  0.290  0.218  0.458
Bi  0.290  0.782  0.542
O  0.728  0.345  0.022
O  0.272  0.022  0.655
O  0.728  0.655  0.978
O  0.272  0.978  0.345
O  0.772  0.155  0.478
O  0.228  0.478  0.845
O  0.228  0.522  0.155
O  0.772  0.845  0.522
F  0.000  0.000  0.000
F  0.500  0.500  0.500


Table of DOS at the Fermi energy (states/eV/atom), in record order: 0.03 0.86 0.00 0.00 0.00 0.00 0.67 0.17
Table of uncorrected formation energy (meV per atom), in record order: -1480.7 -666.5 -1948.0 -1498.3 -1770.8 -1985.5 -1186.0 -1104.8
Table of M_tot (Bohr magnetons per cell), in record order: 0.0 0.0 0.0 0.0 0.0 0.0 4.0 0.0